[1]
Material: SrLiLa2Mn
Method: DFT, PBE
State: relaxed

The structure in extended XYZ format:
```
5
Lattice="5.669 0.000 0.000 0.000 5.669 0.000 0.000 0.000 4.607" Properties=species:S:1:pos:R:3 pbc="T T T"
Sr 0.000 0.000 0.000
Li 2.835 2.835 2.304
La 0.000 2.835 2.304
La 2.835 0.000 2.304
Mn 2.835 2.835 0.000
```

## Properties
crystal system: tetragonal



[2]
Material: LiLaTmMn
Method: DFT, PBE
State: relaxed

The structure in extended XYZ format:
```
4
Lattice="0.000 3.625 3.625 3.625 0.000 3.625 3.625 3.625 0.000" Properties=species:S:1:pos:R:3 pbc="T T T"
Li 0.000 0.000 0.000
La 1.813 1.813 1.813
Tm 5.438 5.438 5.438
Mn 3.625 3.625 3.625
```

## Properties
crystal system: cubic



[3]
Material: LiLa2YMn
Method: DFT, PBE
State: relaxed

The structure in extended XYZ format:
```
5
Lattice="5.232 0.000 0.000 0.000 5.232 0.000 0.000 0.000 5.513" Properties=species:S:1:pos:R:3 pbc="T T T"
Li 0.000 0.000 0.000
La 0.000 2.616 2.756
La 2.616 0.000 2.756
Y 2.616 2.616 0.000
Mn 2.616 2.616 2.756
```

## Properties
crystal system: tetragonal



[4]
Material: LiLa2Mo
Method: DFT, PBE
State: relaxed

The structure in extended XYZ format:
```
4
Lattice="1.772 1.023 10.305 -1.772 1.023 10.305 0.000 -2.046 10.305" Properties=species:S:1:pos:R:3 pbc="T T T"
Li 0.000 0.000 0.000
La 0.000 0.000 7.309
La 0.000 0.000 23.607
Mo 0.000 0.000 15.458
```

## Properties
energy relative to the lowest polymorph listed for this composition: 141 meV/atom
crystal system: trigonal



[5]
Material: LiLa2Mo
Method: DFT, PBE
State: relaxed

The structure in extended XYZ format:
```
4
Lattice="1.777 -2.720 0.000 1.777 2.720 0.000 0.000 0.000 10.573" Properties=species:S:1:pos:R:3 pbc="T T T"
Li 0.000 0.000 0.000
La 0.000 0.000 6.424
La 1.777 0.000 2.969
Mo 1.777 0.000 8.460
```

## Properties
energy relative to the lowest polymorph listed for this composition: 242 meV/atom
crystal system: orthorhombic



[6]
Material: LiLaMo2
Method: DFT, PBE
State: relaxed

The structure in extended XYZ format:
```
4
Lattice="1.627 -2.506 0.000 1.627 2.506 0.000 0.000 0.000 9.991" Properties=species:S:1:pos:R:3 pbc="T T T"
Li 0.000 0.000 0.000
La 1.627 0.000 6.870
Mo 0.000 0.000 4.202
Mo 1.627 0.000 2.300
```

## Properties
energy relative to the lowest polymorph listed for this composition: 79 meV/atom
crystal system: orthorhombic



[7]
Material: LiLaMo3
Method: DFT, PBE
State: relaxed

The structure in extended XYZ format:
```
5
Lattice="4.814 0.000 0.000 0.000 4.814 0.000 0.000 0.000 4.814" Properties=species:S:1:pos:R:3 pbc="T T T"
Li 0.000 0.000 0.000
La 2.407 2.407 2.407
Mo 0.000 2.407 2.407
Mo 2.407 0.000 2.407
Mo 2.407 2.407 0.000
```

## Properties
energy relative to the lowest polymorph listed for this composition: 763 meV/atom
crystal system: cubic



[8]
Material: LiLaMo2
Method: DFT, PBE
State: relaxed

The structure in extended XYZ format:
```
4
Lattice="2.761 -5.048 0.000 2.761 5.048 0.000 0.000 0.000 2.733" Properties=species:S:1:pos:R:3 pbc="T T T"
Li 0.000 0.000 0.000
La 2.761 0.000 0.000
Mo 1.381 2.524 1.366
Mo 1.381 -2.524 1.366
```

## Properties
energy relative to the lowest polymorph listed for this composition: 345 meV/atom
crystal system: orthorhombic



| no. | formation enthalpy at 0 K (eV per atom) | calculated volume (Å³ per atom) |
| --- | --- | --- |
| 1 | 0.865 | 29.6 |
| 2 | 0.146 | 23.8 |
| 3 | 0.194 | 30.2 |
| 4 | 0.432 | 28.0 |
| 5 | 0.533 | 25.6 |
| 6 | 0.411 | 20.4 |
| 7 | 2.126 | 22.3 |
| 8 | 0.677 | 19.0 |